Entry 1:
DFT (GGA-PBE) results for crystalline SiP2W at its relaxed geometry. Values from VASP.

Quantum ESPRESSO input file:
```
&SYSTEM
  ibrav = 0, nat = 4, ntyp = 3
/
ATOMIC_SPECIES
P 30.97 P.upf
Si 28.09 Si.upf
W 183.84 W.upf
ATOMIC_POSITIONS angstrom
P 0.107 0.040 0.304
P 5.858 2.196 2.524
Si 3.722 1.395 2.821
W 2.432 0.912 0.756
CELL_PARAMETERS angstrom
4.632 0.001 -0.003
3.491 3.044 -0.003
-0.043 -0.016 4.277
```

Total magnetic moment   0.00 μB/f.u.
Energy   -7.3126 eV per atom
Formation energy (no corrections)   -14 meV/atom
Space-group type   Cm

=====

Entry 2:
DFT (GGA-PBE) results for crystalline SiP2W at its relaxed geometry. Values from VASP.

Quantum ESPRESSO input file:
```
&SYSTEM
  ibrav = 0, nat = 4, ntyp = 3
/
ATOMIC_SPECIES
P 30.97 P.upf
Si 28.09 Si.upf
W 183.84 W.upf
ATOMIC_POSITIONS angstrom
P 1.740 -4.058 4.216
P 0.945 -2.205 2.291
Si 1.860 -1.884 -0.307
W 2.755 -3.971 1.862
CELL_PARAMETERS angstrom
-0.093 -2.212 -2.091
2.917 0.532 -0.692
1.790 -4.175 4.337
```

Total magnetic moment   0.00 μB/f.u.
Energy   -7.1653 eV per atom
Formation energy (no corrections)   134 meV/atom
Space-group type   P4/mmm

=====

Entry 3:
DFT (GGA-PBE) results for crystalline SiPW2 at its relaxed geometry. Values from VASP.

Quantum ESPRESSO input file:
```
&SYSTEM
  ibrav = 0, nat = 4, ntyp = 3
/
ATOMIC_SPECIES
P 30.97 P.upf
Si 28.09 Si.upf
W 183.84 W.upf
ATOMIC_POSITIONS angstrom
P 1.497 1.526 1.542
Si 1.497 4.578 4.627
W 0.000 3.046 0.056
W 0.000 3.053 3.031
CELL_PARAMETERS angstrom
2.994 0.000 0.000
0.000 3.048 0.002
0.000 3.056 6.166
```

Distance to the lowest polymorph of the same formula   0.293 eV per atom
Total magnetic moment   0.00 μB/f.u.
Energy   -9.1709 eV per atom
Formation energy (no corrections)   14 meV/atom
Space-group type   P2/m